No. 1
DFT (PBE) results for a geometry-optimized BaCdAu4 structure.

a b c (Å): 5.7911 5.7911 5.7911
angles (deg): 60.00 60.00 60.00
Sites, in units of the cell vectors:
Cd1 0.0000 0.0000 0.0000
Au1 0.6260 0.6260 0.1221
Ba1 0.2500 0.2500 0.2500
Au2 0.6260 0.1221 0.6260
Au3 0.1221 0.6260 0.6260
Au4 0.6260 0.6260 0.6260

Values from the calculation:
Spin magnetization = 0.000 μB per atom
ΔH_f (0 K) = -0.364 eV per atom
SG = F-43m, No. 216
Total DFT energy (no corrections) = -18.1 eV/f.u.
Volume = 22.889 A^3/atom
Offset from the most stable computed form = 0.009 eV/atom

***

No. 2
DFT (PBE) results for a geometry-optimized Pa3Si7Ru2 structure.

a b c (Å): 4.0941 4.1375 12.6675
angles (deg): 98.25 90.00 90.00
Sites, in units of the cell vectors:
Ru1 0.5000 0.6054 0.2615
Pa1 0.5000 0.5000 0.0000
Si1 0.5000 0.2679 0.5499
Si2 0.0000 0.6377 0.1689
Ru2 0.5000 0.3946 0.7385
Pa2 0.0000 0.7990 0.6343
Pa3 0.0000 0.2010 0.3657
Si3 0.5000 0.9271 0.8326
Si4 0.5000 0.0729 0.1674
Si5 0.5000 0.7321 0.4501
Si6 0.0000 0.3623 0.8311
Si7 0.0000 0.0000 0.0000

Values from the calculation:
Spin magnetization = 0.000 μB per atom
SG = P2/m, No. 10
Total DFT energy (no corrections) = -92.7 eV/f.u.
Volume = 17.697 A^3/atom

***

No. 3
DFT (PBE) results for a geometry-optimized CaCe2WN4 structure.

a b c (Å): 3.5123 6.3238 11.8746
angles (deg): 90.00 90.00 106.12
Sites, in units of the cell vectors:
N1 0.0000 0.0000 0.5000
Ce1 0.3683 0.7366 0.5367
N2 0.0000 0.0000 0.0000
Ca1 0.8719 0.7439 0.2500
N3 0.2597 0.5195 0.3695
W1 0.8558 0.7116 0.7500
N4 0.7403 0.4805 0.8695
Ca2 0.1281 0.2561 0.7500
Ce2 0.3683 0.7366 0.9633
Ce3 0.6317 0.2634 0.4633
N5 0.5676 0.1353 0.2500
N6 0.7403 0.4805 0.6305
N7 0.4324 0.8647 0.7500
N8 0.2597 0.5195 0.1305
W2 0.1442 0.2884 0.2500
Ce4 0.6317 0.2634 0.0367

Values from the calculation:
Spin magnetization = 0.000 μB per atom
SG = Cmcm, No. 63
Total DFT energy (no corrections) = -67.8 eV/f.u.
Volume = 15.836 A^3/atom

***

No. 4
DFT (PBE) results for a geometry-optimized RbLaAgCl6 structure.

a b c (Å): 10.2173 9.4596 9.9419
angles (deg): 118.41 120.92 90.00
Sites, in units of the cell vectors:
Cl1 0.4552 0.1216 0.2765
Rb1 0.7607 0.5107 0.5214
Cl2 0.1653 0.9153 0.3305
Ag1 0.5000 0.0000 0.0000
Cl3 0.8213 0.6550 0.2765
Cl4 0.4697 0.7197 0.9393
Rb2 0.2393 0.4893 0.4786
Cl5 0.5448 0.8784 0.7235
Cl6 0.5303 0.2803 0.0607
Cl7 0.1787 0.8784 0.7235
Cl8 0.8213 0.1216 0.2765
Ag2 0.5000 0.5000 0.0000
Cl9 0.1787 0.3450 0.7235
La1 0.0000 0.0000 0.5000
Cl10 0.8347 0.0847 0.6695
Cl11 0.5448 0.3450 0.7235
La2 0.5000 0.0000 0.5000
Cl12 0.4552 0.6550 0.2765

Values from the calculation:
Spin magnetization = 0.000 μB per atom
SG = Imma, No. 74
Total DFT energy (no corrections) = -33.9 eV/f.u.
Volume = 38.109 A^3/atom

***

No. 5
DFT (PBE) results for a geometry-optimized Sr2LiUTe5 structure.

a b c (Å): 4.5439 9.8317 14.3125
angles (deg): 90.00 90.00 103.36
Sites, in units of the cell vectors:
U1 0.7831 0.5663 0.5239
Sr1 0.9086 0.8171 0.1651
Sr2 0.8798 0.7596 0.8064
Te1 0.9315 0.8629 0.5585
U2 0.2169 0.4337 0.0239
Te2 0.2735 0.5471 0.6674
Te3 0.3706 0.7413 0.9954
Te4 0.0685 0.1371 0.0585
Te5 0.6294 0.2587 0.4954
Te6 0.7059 0.4117 0.8850
Li1 0.5645 0.1290 0.9464
Te7 0.2941 0.5883 0.3850
Te8 0.5021 0.0042 0.7759
Te9 0.7265 0.4529 0.1674
Sr3 0.1202 0.2404 0.3064
Li2 0.4355 0.8710 0.4464
Te10 0.4979 0.9958 0.2759
Sr4 0.0914 0.1829 0.6651

Values from the calculation:
Spin magnetization = 0.107 μB per atom
SG = Cmc2_1, No. 36
Total DFT energy (no corrections) = -42.2 eV/f.u.
Volume = 34.561 A^3/atom

***

No. 6
DFT (PBE) results for a geometry-optimized W7Se structure.

a b c (Å): 5.7058 5.7058 5.7058
angles (deg): 60.00 60.00 60.00
Sites, in units of the cell vectors:
W1 0.0000 0.0000 0.5000
Se1 0.0000 0.0000 0.0000
W2 0.5000 0.0000 0.0000
W3 0.0000 0.5000 0.5000
W4 0.5000 0.0000 0.5000
W5 0.5000 0.5000 0.0000
W6 0.5000 0.5000 0.5000
W7 0.0000 0.5000 0.0000

Values from the calculation:
Spin magnetization = 0.000 μB per atom
SG = Fm-3m, No. 225
Total DFT energy (no corrections) = -88.9 eV/f.u.
Volume = 16.419 A^3/atom

***

No. 7
DFT (PBE) results for a geometry-optimized ThCoSn structure.

a b c (Å): 3.7886 4.5288 4.5288
angles (deg): 120.00 90.00 90.00
Sites, in units of the cell vectors:
Co1 0.1669 0.6667 0.3333
Th1 0.6665 0.3333 0.6667
Sn1 0.1665 0.0000 0.0000

Values from the calculation:
Spin magnetization = 0.000 μB per atom
ΔH_f (0 K) = -0.358 eV per atom
SG = P-6m2, No. 187
Total DFT energy (no corrections) = -19.6 eV/f.u.
Volume = 22.431 A^3/atom

***

No. 8
DFT (PBE) results for a geometry-optimized Ti2FeSnH structure.

a b c (Å): 4.1188 4.1188 3.9329
angles (deg): 90.00 90.00 90.00
Sites, in units of the cell vectors:
Ti1 0.0000 0.5000 0.0000
Sn1 0.5000 0.5000 0.5000
Fe1 0.0000 0.0000 0.5000
H1 0.0000 0.0000 0.0000
Ti2 0.5000 0.0000 0.0000

Values from the calculation:
Spin magnetization = 0.369 μB per atom
SG = P4/mmm, No. 123
Total DFT energy (no corrections) = -33.1 eV/f.u.
Volume = 13.344 A^3/atom

***

No. 9
DFT (PBE) results for a geometry-optimized MoC5 structure.

a b c (Å): 6.9256 6.9256 2.5306
angles (deg): 90.00 90.00 158.12
Sites, in units of the cell vectors:
C1 0.3449 0.6551 0.5000
C2 0.9742 0.0258 0.0000
Mo1 0.1111 0.8889 0.5000
C3 0.7791 0.2209 0.5000
C4 0.7118 0.2882 0.0000
C5 0.4122 0.5878 0.0000

Values from the calculation:
Spin magnetization = 0.000 μB per atom
ΔH_f (0 K) = 0.683 eV per atom
SG = Amm2, No. 38
Total DFT energy (no corrections) = -52.9 eV/f.u.
Volume = 7.540 A^3/atom
Offset from the most stable computed form = 0.000 eV/atom

***

No. 10
DFT (PBE) results for a geometry-optimized TlRh2W structure.

a b c (Å): 2.8816 4.1129 5.6785
angles (deg): 90.00 90.00 90.00
Sites, in units of the cell vectors:
Rh1 0.5000 0.5000 0.2438
W1 0.5000 0.5000 0.8015
Tl1 0.0000 0.0000 0.4793
Rh2 0.0000 0.0000 0.9754

Values from the calculation:
Spin magnetization = 0.000 μB per atom
ΔH_f (0 K) = 0.295 eV per atom
SG = Pmm2, No. 25
Total DFT energy (no corrections) = -28.8 eV/f.u.
Volume = 16.825 A^3/atom
Offset from the most stable computed form = 0.309 eV/atom

***

No. 11
DFT (PBE) results for a geometry-optimized NbSbN2 structure.

a b c (Å): 7.0091 7.0091 7.0091
angles (deg): 26.30 26.30 26.30
Sites, in units of the cell vectors:
N1 0.8878 0.8878 0.8878
N2 0.1122 0.1122 0.1122
Sb1 0.0000 0.0000 0.0000
Nb1 0.5000 0.5000 0.5000

Values from the calculation:
Spin magnetization = 0.000 μB per atom
SG = R-3m, No. 166
Total DFT energy (no corrections) = -31.9 eV/f.u.
Volume = 14.896 A^3/atom

***

No. 12
DFT (PBE) results for a geometry-optimized LaSm2Y structure.

a b c (Å): 5.8104 5.8104 5.8104
angles (deg): 60.00 60.00 60.00
Sites, in units of the cell vectors:
Sm1 0.7500 0.7500 0.7500
Sm2 0.2500 0.2500 0.2500
Y1 0.5000 0.5000 0.5000
La1 0.0000 0.0000 0.0000

Values from the calculation:
Spin magnetization = 0.337 μB per atom
ΔH_f (0 K) = 0.145 eV per atom
SG = Fm-3m, No. 225
Total DFT energy (no corrections) = -20.2 eV/f.u.
Volume = 34.677 A^3/atom
Offset from the most stable computed form = 0.137 eV/atom

***

Question: What is the total DFT energy (no corrections) in the fourth record?
Answer: -33.9 eV/f.u.

***

Question: What is the volume in the eighth record?
Answer: 13.344 A^3/atom